VASP calculation (GGA+U) on a geometry-optimized Li2MnOF3 structure.

Output
- Magnetization: 4.00 μB/f.u.
- Polymorph energy (0 for the lowest one): 54 meV/atom
- Space group: Pmc2_1
- Raw total energy: -5.59 eV/atom

a b c (Å): 2.8974 5.6119 8.8881
angles (deg): 90.00 90.00 90.00
Last column: nearest neighbours and their distance in Å.
Sites, in units of the cell vectors:
Li  0.0000  0.1599  0.0000  4 F 1.99-2.11, 1 O 2.12
Li  0.0000  0.2006  0.6794  3 F 1.99-2.02, 1 O 2.14
Li  0.0000  0.7994  0.1794  3 F 1.99-2.02, 1 O 2.14
Li  0.0000  0.8401  0.5000  4 F 1.99-2.11, 1 O 2.12
Mn  0.5000  0.3209  0.3227  2 O 1.89, 2 F 2.04
Mn  0.5000  0.6791  0.8227  2 O 1.89, 2 F 2.04
O  0.0000  0.2051  0.4384  2 Mn 1.89
O  0.0000  0.7949  0.9384  2 Mn 1.89
F  0.0000  0.4399  0.1799  2 Li 2.02-2.24, 2 Mn 2.04
F  0.0000  0.5601  0.6799  2 Li 2.02-2.24, 2 Mn 2.04
F  0.5000  0.0384  0.1541  4 Li 1.99-2.11, 1 Mn 2.18
F  0.5000  0.3005  0.8746  2 Li 1.99, 1 Mn 2.17
F  0.5000  0.6995  0.3746  2 Li 1.99, 1 Mn 2.17
F  0.5000  0.9616  0.6541  4 Li 1.99-2.11, 1 Mn 2.18